Here is crystalline Sc2TaMnC at its relaxed geometry from Alexandria. Energies are from PBE.

Summary:
Formation enthalpy at 0 K ... 0.90 eV/atom
DOS at the Fermi energy ... 5.95 states/eV/cell
E ... -7.68 eV/atom

Unit cell a=4.9262 b=4.9262 c=3.6410 alpha=90.00 beta=90.00 gamma=90.00
Last column: nearest neighbours and their distance in Å.
Space group P4/mmm (No. 123)
Asymmetric unit:
Sc 0.0000 0.5000 0.0000  2 Mn 2.46
Ta 0.0000 0.0000 0.5000  8 Sc 3.06
Mn 0.5000 0.5000 0.0000  2 C 1.82
C 0.5000 0.5000 0.5000  2 Mn 1.82

---

Here is crystalline Sc2TaMn2C4 at its relaxed geometry from Alexandria. Energies are from PBE.

Summary:
Formation enthalpy at 0 K ... -0.23 eV/atom
DOS at the Fermi energy ... 11.61 states/eV/cell
E ... -9.09 eV/atom

Unit cell a=11.8647 b=3.1746 c=5.6412 alpha=90.00 beta=109.18 gamma=90.00
Last column: nearest neighbours and their distance in Å.
Space group C2/m (No. 12)
Asymmetric unit:
Sc 0.1339 0.0000 0.0456  7 C 2.35-2.57
Ta 0.0000 0.0000 0.5000  6 C 2.26-2.41
Mn 0.1779 0.5000 0.4876  4 C 1.90-1.99
C 0.0247 0.5000 0.2365  1 Mn 1.90
C 0.2128 0.0000 0.7139  3 Mn 1.99